--- P ---
A plane-wave DFT calculation with GGA-PBE was carried out for an optimized crystal structure of BeRu2Au2.

Cell and atoms, written as extended XYZ:
```
5
Lattice="-1.307 -1.796 -2.928 3.100 -1.967 -0.178 -1.701 -6.325 2.331" Properties=species:S:1:pos:R:3 pbc="T T T"
Ru 0.444 -2.654 -0.877
Ru -0.353 -7.433 0.103
Au -1.056 -5.001 -1.075
Au 1.148 -5.087 0.300
Be 0.000 0.000 0.000
```

Computed properties:
Calculated volume, A^3/atom: 17.4
Total magnetization, μB/f.u.: 0.0

---

--- Q ---
A plane-wave DFT calculation with GGA-PBE was carried out for an optimized crystal structure of BeRu2Au2.

Cell and atoms, written as extended XYZ:
```
10
Lattice="-0.553 -5.824 -0.412 2.522 0.134 -5.293 4.021 -0.517 1.903" Properties=species:S:1:pos:R:3 pbc="T T T"
Ru 1.965 -1.968 -4.687
Ru 1.145 -4.909 -3.752
Ru 0.003 -3.721 -1.018
Ru 0.823 -0.781 -1.952
Au 3.611 -1.173 -2.679
Au 3.725 -4.064 -3.705
Au 2.378 -5.033 -1.122
Au 2.264 -2.142 -0.097
Be 0.000 0.000 0.000
Be 0.984 -2.845 -2.852
```

Computed properties:
Calculated volume, A^3/atom: 15.4
Total magnetization, μB/f.u.: 0.2

---

Here is how they stack up, most stable first: Q, P.

---

--- P ---
A plane-wave DFT calculation with GGA-PBE was carried out for an optimized crystal structure of Be3AuS.

Cell and atoms, written as extended XYZ:
```
5
Lattice="-3.268 2.582 1.349 -1.451 0.316 -4.118 -2.526 -3.521 0.620" Properties=species:S:1:pos:R:3 pbc="T T T"
Be -0.725 0.158 -2.059
Be -1.263 -1.761 0.310
Be -1.634 1.291 0.675
S -3.623 -0.312 -1.075
Au 0.000 0.000 0.000
```

Computed properties:
Calculated volume, A^3/atom: 16.8
Total magnetization, μB/f.u.: 0.0

---

--- Q ---
A plane-wave DFT calculation with GGA-PBE was carried out for an optimized crystal structure of Be3AuS.

Cell and atoms, written as extended XYZ:
```
5
Lattice="-3.826 1.133 -0.760 0.177 -1.831 -3.622 -1.353 -3.444 1.676" Properties=species:S:1:pos:R:3 pbc="T T T"
Be 0.088 -0.916 -1.811
Be -0.676 -1.722 0.838
Be -1.913 0.567 -0.380
S 0.000 0.000 0.000
Au -2.501 -2.071 -1.353
```

Computed properties:
Calculated volume, A^3/atom: 13.4
Total magnetization, μB/f.u.: 0.0

---

Here is how they stack up, most stable first: Q, P.